Here is RbPmNO after structural relaxation from OQMD via LeMat-Bulk. Energies are from PBE-GGA.

Lattice parameters (Å, degrees): 3.8137 6.6900 7.6945 90.00 90.00 90.00
Closest atoms and distances in Å follow each position.
Fractional positions:
O1 0.5000 0.9265 0.8014  2 Pm 2.24
Pm1 0.0000 0.9922 0.6601  2 O 2.24, 2 N 2.30-2.32
N1 0.0000 0.3336 0.6058  2 Pm 2.30-2.32
O2 0.5000 0.4265 0.1987  2 Pm 2.24
Rb1 0.5000 0.5018 0.8405  2 O 2.80-2.86, 2 N 2.86
Rb2 0.5000 0.0018 0.1595  2 O 2.80-2.86, 2 N 2.86
Pm2 0.0000 0.4922 0.3399  2 O 2.24, 2 N 2.30-2.32
N2 0.0000 0.8336 0.3942  2 Pm 2.30-2.32

Properties
- mass density (Mg/m³) = 4.41
- magnetic moment (μB per cell) = 2.00
- DFT total energy (eV per atom) = -5.89

Here is NdPuBe after structural relaxation from OQMD via LeMat-Bulk. Energies are from PBE-GGA.

Lattice parameters (Å, degrees): 4.6097 4.6097 4.6097 60.00 60.00 60.00
Closest atoms and distances in Å follow each position.
Fractional positions:
Nd1 0.2500 0.2500 0.2500  4 Be 2.82
Pu1 0.7500 0.7500 0.7500  4 Be 2.82
Be1 0.0000 0.0000 0.0000  4 Pu 2.82, 4 Nd 2.82

Properties
- mass density (Mg/m³) = 9.52
- magnetic moment (μB per cell) = 5.57
- DFT total energy (eV per atom) = -7.07

Here is GaHgAsO after structural relaxation from OQMD via LeMat-Bulk. Energies are from PBE-GGA.

Lattice parameters (Å, degrees): 2.9578 7.6045 7.1268 90.00 90.00 90.00
Closest atoms and distances in Å follow each position.
Fractional positions:
Ga1 0.0000 0.6733 0.4745  2 O 1.85
As1 0.0000 0.3790 0.3216  2 Ga 2.49-2.50
Hg1 0.5000 0.8778 0.0479  2 O 2.59-2.64
Ga2 0.0000 0.3267 0.9745  2 O 1.85
Hg2 0.5000 0.1222 0.5479  2 O 2.59-2.64
As2 0.0000 0.6210 0.8216  2 Ga 2.49-2.50
O1 0.5000 0.1934 0.9100  2 Ga 1.85
O2 0.5000 0.8066 0.4100  2 Ga 1.85

Properties
- mass density (Mg/m³) = 7.48
- DFT total energy (eV per atom) = -3.71

Here is MgSc2ZnCd2Ag2 after structural relaxation from OQMD via LeMat-Bulk. Energies are from PBE-GGA.

Lattice parameters (Å, degrees): 4.7774 4.7774 6.7593 90.00 90.00 90.00
Closest atoms and distances in Å follow each position.
Fractional positions:
Cd1 0.5000 0.0000 0.2458  2 Zn 2.91, 4 Ag 2.91-2.94, 2 Mg 2.94, 1 Sc 3.23
Sc1 0.5000 0.0000 0.7677  2 Zn 2.86, 4 Ag 2.86-3.00, 2 Mg 3.00
Mg1 0.0000 0.0000 0.5000  4 Cd 2.94, 4 Sc 3.00
Cd2 0.0000 0.5000 0.7542  2 Zn 2.91, 4 Ag 2.91-2.94, 2 Mg 2.94, 1 Sc 3.23
Ag1 0.0000 0.0000 0.0000  4 Sc 2.86, 4 Cd 2.91
Sc2 0.0000 0.5000 0.2323  2 Zn 2.86, 4 Ag 2.86-3.00, 2 Mg 3.00
Ag2 0.5000 0.5000 0.5000  4 Cd 2.94, 4 Sc 3.00
Zn1 0.5000 0.5000 0.0000  4 Sc 2.86, 4 Cd 2.91

Properties
- mass density (Mg/m³) = 6.68
- magnetic moment (μB per cell) = 0.00
- DFT total energy (eV per atom) = -3.10

Here is TbSnAuSe2S after structural relaxation from OQMD via LeMat-Bulk. Energies are from PBE-GGA.

Lattice parameters (Å, degrees): 7.1153 7.1153 10.3092 90.00 90.00 146.88
Closest atoms and distances in Å follow each position.
Fractional positions:
Se1 0.8498 0.1502 0.0527  1 Au 2.59
Tb1 0.5000 0.5000 0.0000  2 S 2.84, 4 Se 2.93
Se2 0.1502 0.8498 0.5527  1 Au 2.59
Au1 0.9678 0.0322 0.2500  2 Se 2.59, 2 S 2.61
Au2 0.0322 0.9678 0.7500  2 Se 2.59, 2 S 2.61
Se3 0.1502 0.8498 0.9473  1 Au 2.59
Tb2 0.5000 0.5000 0.5000  2 S 2.84, 4 Se 2.93
Se4 0.8498 0.1502 0.4473  1 Au 2.59
S1 0.5879 0.4121 0.2500  2 Au 2.61, 2 Tb 2.84
Sn1 0.2468 0.7532 0.2500  2 S 2.97, 4 Se 3.20
S2 0.4121 0.5879 0.7500  2 Au 2.61, 2 Tb 2.84
Sn2 0.7532 0.2468 0.7500  2 S 2.97, 4 Se 3.20

Properties
- mass density (Mg/m³) = 7.74
- magnetic moment (μB per cell) = 0.02
- DFT total energy (eV per atom) = -4.71

Here is PrMgGa4 after structural relaxation from OQMD via LeMat-Bulk. Energies are from PBE-GGA.

Lattice parameters (Å, degrees): 4.5286 4.5286 6.8305 90.00 90.00 120.00
Closest atoms and distances in Å follow each position.
Fractional positions:
Ga1 0.3333 0.6667 0.7986  4 Ga 2.62-2.75
Ga2 0.6667 0.3333 0.2225  3 Ga 2.62
Mg1 0.0000 0.0000 0.0000  12 Ga 2.95-3.02
Ga3 0.3333 0.6667 0.2014  4 Ga 2.62-2.75
Pr1 0.0000 0.0000 0.5000  12 Ga 3.23-3.32, 2 Mg 3.42
Ga4 0.6667 0.3333 0.7775  3 Ga 2.62

Properties
- mass density (Mg/m³) = 6.08
- magnetic moment (μB per cell) = 0.00
- DFT total energy (eV per atom) = -3.51

Here is Tb3Ga3GePd2 after structural relaxation from OQMD via LeMat-Bulk. Energies are from PBE-GGA.

Lattice parameters (Å, degrees): 7.6521 7.6521 3.9163 90.00 90.00 120.00
Closest atoms and distances in Å follow each position.
Fractional positions:
Tb1 0.2804 0.2804 0.0000  2 Pd 2.78, 2 Ge 2.91, 2 Ga 3.11
Tb2 0.7196 0.0000 0.0000  2 Pd 2.78, 2 Ge 2.91, 2 Ga 3.11
Ga1 0.4045 0.0000 0.5000  4 Pd 3.04, 1 Ge 3.10, 6 Tb 3.11-3.37
Ge1 0.0000 0.0000 0.5000  6 Tb 2.91, 3 Ga 3.10
Pd1 0.6667 0.3333 0.0000  3 Tb 2.78, 6 Ga 3.04
Pd2 0.3333 0.6667 0.0000  3 Tb 2.78, 6 Ga 3.04
Ga2 0.0000 0.4045 0.5000  4 Pd 3.04, 1 Ge 3.10, 6 Tb 3.11-3.37
Ga3 0.5955 0.5955 0.5000  4 Pd 3.04, 1 Ge 3.10, 6 Tb 3.11-3.37
Tb3 0.0000 0.7196 0.0000  2 Pd 2.78, 2 Ge 2.91, 2 Ga 3.11

Properties
- mass density (Mg/m³) = 8.12
- magnetic moment (μB per cell) = 0.03
- DFT total energy (eV per atom) = -4.69

Here is Ag3SnSe2S2 after structural relaxation from OQMD via LeMat-Bulk. Energies are from PBE-GGA.

Lattice parameters (Å, degrees): 7.2595 7.2595 5.9437 113.78 113.78 48.17
Closest atoms and distances in Å follow each position.
Fractional positions:
Se1 0.1189 0.6283 0.6254  1 Sn 2.60, 3 Ag 2.64-2.65
Sn1 0.9897 0.0103 0.0000  2 S 2.47, 2 Se 2.60
Ag1 0.7486 0.7513 0.2273  2 S 2.52, 2 Se 2.64-2.65
Ag2 0.5157 0.4843 0.5000  2 S 2.53, 2 Se 2.65
S1 0.8745 0.3677 0.8779  1 Sn 2.47, 3 Ag 2.52-2.53
Se2 0.3717 0.8811 0.3746  1 Sn 2.60, 3 Ag 2.64-2.65
S2 0.6323 0.1255 0.1221  1 Sn 2.47, 3 Ag 2.52-2.53
Ag3 0.2487 0.2514 0.7727  2 S 2.52, 2 Se 2.64-2.65

Properties
- mass density (Mg/m³) = 5.27
- DFT total energy (eV per atom) = -3.65